The following is a GGA-PBE calculation of a relaxed ScPaCrRe crystal, from Alexandria.

- DFT formation energy: 0.032 eV/atom
- DOS at the Fermi energy: 0.738 states/eV/atom
- Space-group type: F-43m, No. 216

Structure (POSCAR):
```
ScPaCrRe
1.0
6.6629 0.0000 0.0000
0.0000 6.6629 0.0000
0.0000 0.0000 6.6629
Sc Pa Cr Re
4 4 4 4
direct
0.0000 0.0000 0.0000
0.0000 0.5000 0.5000
0.5000 0.0000 0.5000
0.5000 0.5000 0.0000
0.0000 0.0000 0.5000
0.0000 0.5000 0.0000
0.5000 0.0000 0.0000
0.5000 0.5000 0.5000
0.2500 0.2500 0.2500
0.2500 0.7500 0.7500
0.7500 0.2500 0.7500
0.7500 0.7500 0.2500
0.2500 0.2500 0.7500
0.2500 0.7500 0.2500
0.7500 0.2500 0.2500
0.7500 0.7500 0.7500
```